Li2FeCu: relaxed, GGA-PBE.

a b c (Å): 2.4657 3.9408 5.3894
angles (deg): 90.00 90.00 90.00
Last column: nearest neighbours and their distance in Å.
Atoms (fractional coordinates):
Li (0.0000, 0.0000, 0.0000)  6 Li 2.47-2.72, 1 Cu 2.55, 4 Fe 2.74
Li (0.5000, 0.5000, 0.2614)  6 Li 2.47-2.72, 1 Fe 2.53, 4 Cu 2.73
Fe (0.5000, 0.5000, 0.7305)  2 Fe 2.47, 5 Li 2.53-2.74, 4 Cu 2.57
Cu (0.0000, 0.0000, 0.5272)  2 Cu 2.47, 5 Li 2.55-2.73, 4 Fe 2.57

- DOS(E_F) (states/eV/f.u.) = 1.59
- ΔH_f (0 K) (eV/f.u.) = 0.63



TbTi2Pd9: relaxed, GGA-PBE.

a b c (Å): 3.9986 3.9986 11.9669
angles (deg): 90.00 90.00 90.00
Last column: nearest neighbours and their distance in Å.
Atoms (fractional coordinates):
Tb (0.0000, 0.0000, 0.0000)  12 Pd 2.83-2.95
Ti (0.0000, 0.0000, 0.3360)  12 Pd 2.73-2.83
Ti (0.0000, 0.0000, 0.6640)  12 Pd 2.73-2.83
Pd (0.0000, 0.5000, 0.1811)  2 Ti 2.73, 8 Pd 2.76-2.95, 2 Tb 2.95
Pd (0.0000, 0.5000, 0.5000)  8 Pd 2.77-2.83, 4 Ti 2.80
Pd (0.0000, 0.5000, 0.8189)  2 Ti 2.73, 8 Pd 2.76-2.95, 2 Tb 2.95
Pd (0.5000, 0.0000, 0.1811)  2 Ti 2.73, 8 Pd 2.76-2.95, 2 Tb 2.95
Pd (0.5000, 0.0000, 0.5000)  8 Pd 2.77-2.83, 4 Ti 2.80
Pd (0.5000, 0.0000, 0.8189)  2 Ti 2.73, 8 Pd 2.76-2.95, 2 Tb 2.95
Pd (0.5000, 0.5000, 0.0000)  4 Tb 2.83, 8 Pd 2.95
Pd (0.5000, 0.5000, 0.3400)  8 Pd 2.76-2.77, 4 Ti 2.83
Pd (0.5000, 0.5000, 0.6600)  8 Pd 2.76-2.77, 4 Ti 2.83

- DOS(E_F) (states/eV/f.u.) = 2.69
- ΔH_f (0 K) (eV/f.u.) = -8.70



Hf2NiPb: relaxed, GGA-PBE.

a b c (Å): 6.1061 6.1061 6.1061
angles (deg): 104.02 104.02 121.02
Last column: nearest neighbours and their distance in Å.
Atoms (fractional coordinates):
Hf (0.0689, 0.6250, 0.9439)  2 Ni 2.49
Hf (0.3750, 0.3189, 0.4439)  2 Ni 2.49
Hf (0.6811, 0.1250, 0.0561)  2 Ni 2.49
Hf (0.8750, 0.9311, 0.5561)  2 Ni 2.49
Ni (0.0000, 0.0000, 0.0000)  4 Hf 2.49
Ni (0.7500, 0.2500, 0.5000)  4 Hf 2.49
Pb (0.2500, 0.7500, 0.5000)  2 Ni 3.01, 8 Hf 3.06-3.28
Pb (0.5000, 0.5000, 0.0000)  2 Ni 3.01, 8 Hf 3.06-3.28

- DOS(E_F) (states/eV/f.u.) = 2.33
- ΔH_f (0 K) (eV/f.u.) = 0.36



CaMgN2: relaxed, GGA-PBE.

a b c (Å): 6.9550 6.9550 6.9550
angles (deg): 142.45 142.45 54.15
Last column: nearest neighbours and their distance in Å.
Atoms (fractional coordinates):
Ca (0.0000, 0.0000, 0.0000)  4 N 2.52
Ca (0.7500, 0.2500, 0.5000)  4 N 2.52
Mg (0.2500, 0.7500, 0.5000)  4 N 2.00
Mg (0.5000, 0.5000, 0.0000)  4 N 2.00
N (0.2430, 0.6250, 0.1180)  2 Mg 2.00
N (0.3750, 0.4930, 0.6180)  2 Mg 2.00
N (0.5070, 0.1250, 0.8820)  2 Mg 2.00
N (0.8750, 0.7570, 0.3820)  2 Mg 2.00

- DOS(E_F) (states/eV/f.u.) = 1.50
- formation energy without anion corrections (kJ/mol of formula units) = 24.2



BaTcHg: relaxed, GGA-PBE.

a b c (Å): 3.6677 3.6677 7.2502
angles (deg): 90.00 90.00 120.00
Last column: nearest neighbours and their distance in Å.
Atoms (fractional coordinates):
Ba (0.0000, 0.0000, 0.0000)  3 Tc 3.24, 3 Hg 3.57
Tc (0.3333, 0.6667, 0.6611)  3 Hg 2.86
Hg (0.6667, 0.3333, 0.3961)  3 Tc 2.86

- DOS(E_F) (states/eV/f.u.) = 3.02
- ΔE to the lowest computed polymorph (eV/atom) = 0.341
- ΔH_f (0 K) (eV/f.u.) = 2.75



Ba2HgPd2: relaxed, GGA-PBE.

a b c (Å): 8.2115 8.2115 4.3994
angles (deg): 90.00 90.00 90.00
Last column: nearest neighbours and their distance in Å.
Atoms (fractional coordinates):
Ba (0.1772, 0.3228, 0.0000)  6 Pd 3.22-3.32
Ba (0.3228, 0.8228, 0.0000)  6 Pd 3.22-3.32
Ba (0.6772, 0.1772, 0.0000)  6 Pd 3.22-3.32
Ba (0.8228, 0.6772, 0.0000)  6 Pd 3.22-3.32
Hg (0.0000, 0.0000, 0.5000)  4 Pd 3.27
Hg (0.5000, 0.5000, 0.5000)  4 Pd 3.27
Pd (0.1205, 0.6205, 0.5000)  1 Pd 2.80
Pd (0.3795, 0.1205, 0.5000)  1 Pd 2.80
Pd (0.6205, 0.8795, 0.5000)  1 Pd 2.80
Pd (0.8795, 0.3795, 0.5000)  1 Pd 2.80

- DOS(E_F) (states/eV/f.u.) = 2.61
- ΔH_f (0 K) (eV/f.u.) = -2.55